Record 1
The following is a PBE-GGA calculation of a relaxed NaMg2GaRh crystal, from the Alexandria database.

Unit cell a=5.018 b=5.018 c=4.789 alpha=90.00 beta=90.00 gamma=90.00
Atoms (fractional coordinates):
Na 0.500 0.500 0.500
Rh 0.000 0.000 0.000
Ga 0.000 0.000 0.500
Mg 0.000 0.500 0.000
Mg 0.500 0.000 0.000

Values from the calculation:
* VASP energy: -3.221 eV per atom
* M_tot: 0.00 μB per atom
* space-group type: P4/mmm
* DFT formation energy: -0.243 eV/atom

Record 2
The following is a PBE-GGA calculation of a relaxed LaSiGeRh6 crystal, from the Alexandria database.

Unit cell a=6.315 b=9.072 c=7.880 alpha=125.14 beta=113.62 gamma=90.00
Atoms (fractional coordinates):
Ge 0.000 0.000 0.500
Rh 0.358 0.644 0.261
Rh 0.097 0.882 0.739
Rh 0.574 0.324 0.147
Rh 0.358 0.118 0.261
Rh 0.097 0.356 0.739
La 0.180 0.430 0.359
Rh 0.083 0.833 0.167
Rh 0.903 0.118 0.261
Rh 0.903 0.644 0.261
Rh 0.642 0.882 0.739
Rh 0.426 0.676 0.853
Ge 0.500 0.000 0.500
Rh 0.917 0.167 0.833
La 0.820 0.570 0.641
Rh 0.642 0.356 0.739
Si 0.500 0.500 0.000
Si 0.500 0.000 0.000

Values from the calculation:
* VASP energy: -6.757 eV per atom
* M_tot: 0.00 μB per atom
* E_form (uncorrected): -0.1933 eV per atom
* space-group type: Imma

Record 3
The following is a PBE-GGA calculation of a relaxed Ta2MoHIr crystal, from the Alexandria database.

Unit cell a=4.337 b=4.337 c=3.659 alpha=90.00 beta=90.00 gamma=90.00
Atoms (fractional coordinates):
Ta 0.000 0.500 0.000
H 0.000 0.000 0.000
Mo 0.000 0.000 0.500
Ir 0.500 0.500 0.500
Ta 0.500 0.000 0.000

Values from the calculation:
* VASP energy: -9.555 eV per atom
* M_tot: 0.00 μB per atom
* space-group type: P4/mmm
* energy relative to the lowest polymorph listed for this composition: 0.06 eV/f.u.

Record 4
The following is a PBE-GGA calculation of a relaxed PmHo3Sc2Te6 crystal, from the Alexandria database.

Unit cell a=4.290 b=8.642 c=9.617 alpha=102.42 beta=102.89 gamma=90.00
Atoms (fractional coordinates):
Te 0.994 0.740 0.988
Te 0.006 0.260 0.012
Te 0.327 0.904 0.653
Ho 0.158 0.832 0.316
Ho 0.842 0.168 0.684
Ho 0.500 0.500 0.000
Te 0.329 0.421 0.658
Sc 0.837 0.670 0.673
Te 0.673 0.096 0.347
Pm 0.500 0.000 0.000
Te 0.671 0.579 0.342
Sc 0.163 0.330 0.327

Values from the calculation:
* VASP energy: -5.384 eV per atom
* M_tot: 0.00 μB per atom
* E_form (uncorrected): -1.2173 eV per atom
* space-group type: C2/m

Record 5
The following is a PBE-GGA calculation of a relaxed BaNp2GaP4 crystal, from the Alexandria database.

Unit cell a=4.070 b=7.245 c=13.570 alpha=90.00 beta=90.00 gamma=106.32
Site moments in Bohr magnetons follow the coordinates.
Atoms (fractional coordinates):
P 0.258 0.516 0.391  -0.10
Np 0.629 0.257 0.445  3.51
P 0.742 0.484 0.609  -0.10
Ga 0.840 0.679 0.750  0.00
Ba 0.112 0.224 0.750  0.00
P 0.435 0.870 0.750  -0.07
Ba 0.888 0.776 0.250  0.00
P 0.742 0.484 0.891  -0.10
Np 0.629 0.257 0.055  3.51
Np 0.371 0.743 0.555  3.51
P 0.565 0.130 0.250  -0.07
P 0.258 0.516 0.109  -0.10
Np 0.371 0.743 0.945  3.51
Ga 0.160 0.321 0.250  0.00
P 0.000 0.000 0.000  -0.14
P 0.000 0.000 0.500  -0.14

Values from the calculation:
* VASP energy: -7.309 eV per atom
* M_tot: 0.87 μB per atom
* space-group type: Cmcm
* DFT formation energy: -0.750 eV/atom

Record 6
The following is a PBE-GGA calculation of a relaxed MgAg6Pd2 crystal, from the Alexandria database.

Unit cell a=4.012 b=6.503 c=6.564 alpha=107.70 beta=107.79 gamma=90.00
Atoms (fractional coordinates):
Ag 0.277 0.165 0.554
Ag 0.391 0.839 0.782
Mg 0.500 0.500 0.000
Ag 0.835 0.499 0.669
Ag 0.165 0.501 0.331
Pd 0.948 0.176 0.895
Pd 0.052 0.824 0.105
Ag 0.609 0.161 0.218
Ag 0.723 0.835 0.446

Values from the calculation:
* VASP energy: -3.387 eV per atom
* M_tot: 0.00 μB per atom
* space-group type: C2/m
* DFT formation energy: -0.155 eV/atom